Entry 1:
## KReCl2 (GGA-PBEsol)

Data for KReCl2 after structural relaxation. Values from VASP.

Formation energy from raw total energies in eV per atom: 0.5406
Total energy in eV/atom: -4.080
Energy above the most stable polymorph in this dataset in meV per atom: 251.2
Volume in Å³/atom: 24.651
Crystal system: tetragonal

```
&SYSTEM
  ibrav = 0, nat = 4, ntyp = 3
/
ATOMIC_SPECIES
K 39.10 K.upf
Re 186.21 Re.upf
Cl 35.45 Cl.upf
CELL_PARAMETERS angstrom
-1.9640 1.9640 6.3910
1.9640 -1.9640 6.3910
1.9640 1.9640 -6.3910
ATOMIC_POSITIONS angstrom
K 0.0000 0.0000 0.0000
Re 0.0000 1.9640 3.1955
Cl 1.9640 0.0000 3.1955
Cl 0.0000 0.0000 6.3910
```

Entry 2:
## Zr7V5N2 (GGA-PBEsol)

Data for Zr7V5N2 after structural relaxation. Values from VASP.

Formation energy from raw total energies in eV per atom: -0.5487
Total energy in eV/atom: -9.753
Volume in Å³/atom: 15.940
Crystal system: orthorhombic

```
&SYSTEM
  ibrav = 0, nat = 28, ntyp = 3
/
ATOMIC_SPECIES
Zr 91.22 Zr.upf
V 50.94 V.upf
N 14.01 N.upf
CELL_PARAMETERS angstrom
-4.2784 4.3050 6.0581
4.2784 -4.3050 6.0581
4.2784 4.3050 -6.0581
ATOMIC_POSITIONS angstrom
Zr 0.0000 0.0000 0.0000
Zr 2.7062 0.5369 1.5310
Zr 5.8507 0.5369 1.5310
Zr 4.2784 2.1525 -0.7315
Zr 2.7062 4.8419 -1.5310
Zr 1.5722 0.5369 4.5271
Zr 0.0000 2.1525 2.2859
Zr 0.0000 4.3050 0.0000
Zr 4.2784 2.1525 3.7722
Zr 2.7062 3.7681 1.5310
Zr 1.5722 -0.5369 7.5892
Zr 0.0000 2.1525 6.7896
Zr -1.5722 3.7681 4.5271
Zr 1.5722 3.7681 4.5271
V 2.1392 2.1525 -3.0291
V 2.1392 -2.1525 3.0291
V 4.2784 3.4628 -3.4868
V 4.2784 -0.8422 3.4868
V 1.4245 2.1525 -0.7196
V 2.8539 -2.1525 5.3385
V 1.4245 6.4575 0.7196
V 2.8539 2.1525 6.7777
V 0.0000 5.1473 2.5713
V 0.0000 0.8422 9.5449
N 4.2784 0.0000 0.0000
N -2.1392 2.1525 3.0291
N 0.0000 0.0000 6.0581
N 2.1392 2.1525 3.0291
```

Entry 3:
## Sr5Sn3 (GGA-PBEsol)

Data for Sr5Sn3 after structural relaxation. Values from VASP.

Formation enthalpy at 0 K in eV per formula unit: -5.32
Total energy in eV/atom: -3.412
Volume in Å³/atom: 36.263
Crystal system: tetragonal

```
&SYSTEM
  ibrav = 0, nat = 16, ntyp = 2
/
ATOMIC_SPECIES
Sr 87.62 Sr.upf
Sn 118.71 Sn.upf
CELL_PARAMETERS angstrom
-4.2359 4.2359 8.0842
4.2359 -4.2359 8.0842
4.2359 4.2359 -8.0842
ATOMIC_POSITIONS angstrom
Sr 0.0000 0.0000 0.0000
Sr 5.7314 1.4955 -2.3051
Sr 1.4955 2.7404 -2.3051
Sr 5.7314 1.4955 2.3051
Sr 1.4955 2.7404 2.3051
Sr 0.0000 0.0000 8.0842
Sr 2.7404 1.4955 5.7791
Sr -1.4955 2.7404 5.7791
Sr 2.7404 1.4955 10.3893
Sr -1.4955 2.7404 10.3893
Sn 3.2143 1.0216 0.0000
Sn 0.0000 0.0000 4.0421
Sn 3.2143 -1.0216 8.0842
Sn 1.0216 5.2574 0.0000
Sn 0.0000 0.0000 12.1263
Sn 1.0216 3.2143 8.0842
```

Entry 4:
## CsCuCl3 (GGA-PBEsol)

Data for CsCuCl3 after structural relaxation. Values from VASP.

Formation energy from raw total energies in eV per atom: -1.1042
Total energy in eV/atom: -3.364
Volume in Å³/atom: 25.344
Crystal system: hexagonal

```
&SYSTEM
  ibrav = 0, nat = 10, ntyp = 3
/
ATOMIC_SPECIES
Cs 132.91 Cs.upf
Cu 63.55 Cu.upf
Cl 35.45 Cl.upf
CELL_PARAMETERS angstrom
7.0655 0.0000 0.0000
-3.5328 6.1189 0.0000
0.0000 0.0000 5.8621
ATOMIC_POSITIONS angstrom
Cs 0.0000 4.0793 1.4655
Cs 3.5328 2.0396 4.3966
Cu 0.0000 0.0000 0.0000
Cu 0.0000 0.0000 2.9310
Cl 0.0000 1.9133 4.3966
Cl -1.8758 5.1623 4.3966
Cl 1.6569 0.9566 1.4655
Cl 1.8758 5.1623 4.3966
Cl 5.4086 0.9566 1.4655
Cl 3.5328 4.2057 1.4655
```

Entry 5:
## InPtN2 (GGA-PBEsol)

Data for InPtN2 after structural relaxation. Values from VASP.

Formation energy from raw total energies in eV per atom: 0.6832
Total energy in eV/atom: -6.067
Volume in Å³/atom: 14.447
Crystal system: tetragonal

```
&SYSTEM
  ibrav = 0, nat = 8, ntyp = 3
/
ATOMIC_SPECIES
In 114.82 In.upf
Pt 195.08 Pt.upf
N 14.01 N.upf
CELL_PARAMETERS angstrom
-2.3416 2.3416 5.2698
2.3416 -2.3416 5.2698
2.3416 2.3416 -5.2698
ATOMIC_POSITIONS angstrom
In 0.0000 0.0000 0.0000
In 0.0000 2.3416 2.6349
Pt 2.3416 0.0000 2.6349
Pt 0.0000 0.0000 5.2698
N 1.1708 -1.0349 3.9524
N 1.3067 1.1708 1.3175
N 1.1708 3.3765 -1.3175
N 1.0349 1.1708 6.5873
```

Entry 6:
## Ta2AsRu (GGA-PBEsol)

Data for Ta2AsRu after structural relaxation. Values from VASP.

Formation enthalpy at 0 K in eV per formula unit: -0.70
Total energy in eV/atom: -10.271
Volume in Å³/atom: 15.862
Crystal system: monoclinic

```
&SYSTEM
  ibrav = 0, nat = 4, ntyp = 3
/
ATOMIC_SPECIES
Ta 180.95 Ta.upf
As 74.92 As.upf
Ru 101.07 Ru.upf
CELL_PARAMETERS angstrom
2.8409 -3.5935 0.0000
2.8409 3.5935 0.0000
-0.3779 0.0000 3.1076
ATOMIC_POSITIONS angstrom
Ta 1.4204 1.7968 0.0000
Ta 1.4204 -1.7968 0.0000
As -0.1889 0.0000 1.5538
Ru 2.6519 0.0000 1.5538
```

Entry 7:
## SrCrTe3 (GGA-PBEsol)

Data for SrCrTe3 after structural relaxation. Values from VASP.

Formation energy from raw total energies in eV per atom: 0.7403
Total energy in eV/atom: -3.792
Volume in Å³/atom: 42.791
Crystal system: cubic

```
&SYSTEM
  ibrav = 0, nat = 5, ntyp = 3
/
ATOMIC_SPECIES
Sr 87.62 Sr.upf
Cr 52.00 Cr.upf
Te 127.60 Te.upf
CELL_PARAMETERS angstrom
5.9810 0.0000 0.0000
0.0000 5.9810 0.0000
0.0000 0.0000 5.9810
ATOMIC_POSITIONS angstrom
Sr 0.0000 0.0000 0.0000
Cr 2.9905 2.9905 2.9905
Te 0.0000 0.0000 2.9905
Te 0.0000 2.9905 0.0000
Te 2.9905 0.0000 0.0000
```

Entry 8:
## HgI2N (GGA-PBEsol)

Data for HgI2N after structural relaxation. Values from VASP.

Formation energy from raw total energies in eV per atom: 0.7354
Total energy in eV/atom: -2.421
Energy above the most stable polymorph in this dataset in meV per atom: 0.0
Volume in Å³/atom: 33.733
Crystal system: cubic

```
&SYSTEM
  ibrav = 0, nat = 8, ntyp = 3
/
ATOMIC_SPECIES
Hg 200.59 Hg.upf
I 126.90 I.upf
N 14.01 N.upf
CELL_PARAMETERS angstrom
0.0000 5.1291 5.1291
5.1291 0.0000 5.1291
5.1291 5.1291 0.0000
ATOMIC_POSITIONS angstrom
Hg 1.2823 1.2823 1.2823
Hg 8.9758 8.9758 8.9758
I 5.1291 2.5645 2.5645
I 2.5645 5.1291 2.5645
I 2.5645 2.5645 5.1291
I 5.1291 5.1291 5.1291
N 3.8468 3.8468 3.8468
N 6.4113 6.4113 6.4113
```

Entry 9:
## CrCuSe2 (GGA-PBEsol)

Data for CrCuSe2 after structural relaxation. Values from VASP.

Formation energy from raw total energies in eV per atom: -0.3163
Total energy in eV/atom: -5.885
Energy above the most stable polymorph in this dataset in meV per atom: 0.0
Volume in Å³/atom: 18.334
Crystal system: trigonal

```
&SYSTEM
  ibrav = 0, nat = 4, ntyp = 3
/
ATOMIC_SPECIES
Cr 52.00 Cr.upf
Cu 63.55 Cu.upf
Se 78.96 Se.upf
CELL_PARAMETERS angstrom
1.8400 1.0623 6.2530
-1.8400 1.0623 6.2530
0.0000 -2.1246 6.2530
ATOMIC_POSITIONS angstrom
Cr 0.0000 0.0000 0.0000
Cu 0.0000 0.0000 2.6699
Se 0.0000 0.0000 4.9750
Se 0.0000 0.0000 13.9907
```

Entry 10:
## Ta2InRe (GGA-PBEsol)

Data for Ta2InRe after structural relaxation. Values from VASP.

Formation enthalpy at 0 K in eV per formula unit: 0.59
Total energy in eV/atom: -10.208
Volume in Å³/atom: 17.175
Crystal system: monoclinic

```
&SYSTEM
  ibrav = 0, nat = 4, ntyp = 3
/
ATOMIC_SPECIES
Ta 180.95 Ta.upf
In 114.82 In.upf
Re 186.21 Re.upf
CELL_PARAMETERS angstrom
2.8341 -4.3989 0.0000
2.8341 4.3989 0.0000
-0.6010 0.0000 2.7553
ATOMIC_POSITIONS angstrom
Ta 1.4170 2.1994 0.0000
Ta 1.4170 -2.1994 0.0000
In -0.3005 0.0000 1.3776
Re 2.5336 0.0000 1.3776
```

Entry 11:
## ZnCoAs3 (GGA-PBEsol)

Data for ZnCoAs3 after structural relaxation. Values from VASP.

Formation enthalpy at 0 K in eV per formula unit: 2.27
Total energy in eV/atom: -4.474
Volume in Å³/atom: 18.690
Crystal system: cubic

```
&SYSTEM
  ibrav = 0, nat = 5, ntyp = 3
/
ATOMIC_SPECIES
Zn 65.41 Zn.upf
Co 58.93 Co.upf
As 74.92 As.upf
CELL_PARAMETERS angstrom
4.5380 0.0000 0.0000
0.0000 4.5380 0.0000
0.0000 0.0000 4.5380
ATOMIC_POSITIONS angstrom
Zn 0.0000 0.0000 0.0000
Co 2.2690 2.2690 2.2690
As 0.0000 2.2690 2.2690
As 2.2690 0.0000 2.2690
As 2.2690 2.2690 0.0000
```

Entry 12:
## Sr2TlCu (GGA-PBEsol)

Data for Sr2TlCu after structural relaxation. Values from VASP.

Formation enthalpy at 0 K in eV per formula unit: -0.01
Total energy in eV/atom: -2.664
Volume in Å³/atom: 25.443
Crystal system: cubic

```
&SYSTEM
  ibrav = 0, nat = 4, ntyp = 3
/
ATOMIC_SPECIES
Sr 87.62 Sr.upf
Tl 204.38 Tl.upf
Cu 63.55 Cu.upf
CELL_PARAMETERS angstrom
0.0000 3.7056 3.7056
3.7056 0.0000 3.7056
3.7056 3.7056 0.0000
ATOMIC_POSITIONS angstrom
Sr 0.0000 0.0000 0.0000
Sr 1.8528 1.8528 1.8528
Tl 3.7056 3.7056 3.7056
Cu 5.5585 5.5585 5.5585
```